No. 1
The following is a PBE calculation of crystalline Ni2SbMo at its relaxed geometry, from Alexandria via LeMat-Bulk.

The calculation puts the electronic total energy at -6.463 eV per atom. The mass density is 9443 kg/m³. For the density of states at the Fermi level, the calculation gives 21.9 states/eV per cell.

The structure belongs to space group F-43m (No. 216); the cell edges are 6.1770, 6.1770 and 6.1770 Å and the angles 90.00°, 90.00° and 90.00°. Symmetry generates all atoms from Ni at (0.0000, 0.0000, 0.0000), Ni at (0.2500, 0.2500, 0.2500), Sb at (0.2500, 0.2500, 0.7500) and Mo at (0.0000, 0.0000, 0.5000).

=====

No. 2
The following is a PBE calculation of crystalline Ni2SbMo at its relaxed geometry, from Alexandria via LeMat-Bulk.

The calculation puts the electronic total energy at -6.460 eV per atom. The mass density is 9569 kg/m³. For the density of states at the Fermi level, the calculation gives 9.7 states/eV per cell.

The structure belongs to space group I4/mmm (No. 139); the cell edges are 3.9620, 3.9620 and 7.4086 Å and the angles 90.00°, 90.00° and 90.00°. Symmetry generates all atoms from Ni at (0.0000, 0.5000, 0.2500), Sb at (0.0000, 0.0000, 0.0000) and Mo at (0.0000, 0.0000, 0.5000).

=====

No. 3
The following is a PBE calculation of crystalline Ni6SbMo at its relaxed geometry, from Alexandria via LeMat-Bulk.

The calculation puts the electronic total energy at -6.253 eV per atom. The mass density is 9430 kg/m³. For the density of states at the Fermi level, the calculation gives 76.8 states/eV per cell.

The structure belongs to space group Cmmm (No. 65); the cell edges are 7.3888, 10.4135 and 10.4336 Å and the angles 90.00°, 90.00° and 90.00°. Symmetry generates all atoms from Ni at (0.0000, 0.0000, 0.0000), Ni at (0.0000, 0.0000, 0.5000), Ni at (0.0000, 0.2454, 0.2404), Ni at (0.0000, 0.5000, 0.0000), Ni at (0.0000, 0.5000, 0.5000), Ni at (0.2423, 0.1234, 0.3691), Ni at (0.2442, 0.1272, 0.1203), Sb at (0.0000, 0.2504, 0.5000), Sb at (0.0000, 0.5000, 0.2476), Mo at (0.0000, 0.0000, 0.2514) and Mo at (0.0000, 0.2459, 0.0000).

=====

No. 4
The following is a PBE calculation of crystalline NiSbMo2 at its relaxed geometry, from Alexandria via LeMat-Bulk.

The calculation puts the electronic total energy at -7.588 eV per atom. The mass density is 9646 kg/m³. For the density of states at the Fermi level, the calculation gives 5.6 states/eV per cell.

The structure belongs to space group Cmmm (No. 65); the cell edges are 5.2127, 8.2103 and 2.9952 Å and the angles 90.00°, 90.00° and 90.00°. Symmetry generates all atoms from Ni at (0.0000, 0.0000, 0.0000), Sb at (0.0000, 0.5000, 0.0000) and Mo at (0.2500, 0.2500, 0.5000).

=====

No. 5
The following is a PBE calculation of crystalline NiSbMo2 at its relaxed geometry, from Alexandria via LeMat-Bulk.

The calculation puts the electronic total energy at -7.684 eV per atom. The mass density is 9741 kg/m³. For the density of states at the Fermi level, the calculation gives 3.9 states/eV per cell.

The structure belongs to space group P4/mmm (No. 123); the cell edges are 3.7960, 3.7960 and 4.4048 Å and the angles 90.00°, 90.00° and 90.00°. Symmetry generates all atoms from Ni at (0.0000, 0.0000, 0.0000), Sb at (0.5000, 0.5000, 0.0000) and Mo at (0.0000, 0.5000, 0.5000).

=====

No. 6
The following is a PBE calculation of crystalline NiSbMo2 at its relaxed geometry, from Alexandria via LeMat-Bulk.

The calculation puts the electronic total energy at -7.562 eV per atom. The mass density is 9715 kg/m³. For the density of states at the Fermi level, the calculation gives 4.5 states/eV per cell.

The structure belongs to space group P4/mmm (No. 123); the cell edges are 4.5504, 4.5504 and 3.0736 Å and the angles 90.00°, 90.00° and 90.00°. Symmetry generates all atoms from Ni at (0.0000, 0.0000, 0.0000), Sb at (0.5000, 0.5000, 0.0000) and Mo at (0.0000, 0.5000, 0.5000).

=====

No. 7
The following is a PBE calculation of crystalline NiSb3Mo at its relaxed geometry, from Alexandria via LeMat-Bulk.

As for the offset from the most stable computed form: 0.0 meV/atom. The calculation puts the electronic total energy at -4.980 eV per atom. The mass density is 7150 kg/m³. For the density of states at the Fermi level, the calculation gives 2.2 states/eV per cell.

The structure belongs to space group Pm-3m (No. 221); the cell edges are 4.9426, 4.9426 and 4.9426 Å and the angles 90.00°, 90.00° and 90.00°. Symmetry generates all atoms from Ni at (0.0000, 0.0000, 0.0000), Sb at (0.0000, 0.0000, 0.5000) and Mo at (0.5000, 0.5000, 0.5000).

=====

No. 8
The following is a PBE calculation of crystalline Ni2SbMo at its relaxed geometry, from Alexandria via LeMat-Bulk.

The calculation puts the electronic total energy at -6.112 eV per atom. The mass density is 8482 kg/m³. For the density of states at the Fermi level, the calculation gives 20.3 states/eV per cell.

The structure belongs to space group I-42d (No. 122); the cell edges are 3.8857, 3.8857 and 17.3794 Å and the angles 90.00°, 90.00° and 90.00°. Symmetry generates all atoms from Ni at (0.2354, 0.2500, 0.1250), Sb at (0.0000, 0.0000, 0.5000) and Mo at (0.0000, 0.0000, 0.0000).

=====

No. 9
The following is a PBE calculation of crystalline Ni2SbMo at its relaxed geometry, from Alexandria via LeMat-Bulk.

The calculation puts the electronic total energy at -6.461 eV per atom. The mass density is 9457 kg/m³. For the density of states at the Fermi level, the calculation gives 4.6 states/eV per cell.

The structure belongs to space group Pmm2 (No. 25); the cell edges are 2.9398, 3.4397 and 5.8185 Å and the angles 90.00°, 90.00° and 90.00°. Symmetry generates all atoms from Ni at (0.0000, 0.0000, 0.0000), Ni at (0.5000, 0.5000, 0.2144), Sb at (0.0000, 0.0000, 0.4587) and Mo at (0.5000, 0.5000, 0.7694).

=====

No. 10
The following is a PBE calculation of crystalline NiSbMo2 at its relaxed geometry, from Alexandria via LeMat-Bulk.

The calculation puts the electronic total energy at -7.542 eV per atom. The mass density is 9081 kg/m³. For the density of states at the Fermi level, the calculation gives 12.3 states/eV per cell.

The structure belongs to space group R3m (No. 160, hexagonal axes); the cell edges are 3.1256, 3.1256 and 24.1414 Å and the angles 90.00°, 90.00° and 120.00°. Symmetry generates all atoms from Ni at (0.0000, 0.0000, 0.0000), Sb at (0.0000, 0.0000, 0.7503), Mo at (0.0000, 0.0000, 0.2555) and Mo at (0.0000, 0.0000, 0.5118).

=====

No. 11
The following is a PBE calculation of crystalline NiSb2Mo at its relaxed geometry, from Alexandria via LeMat-Bulk.

As for the offset from the most stable computed form: 0.0 meV/atom. The calculation puts the electronic total energy at -6.205 eV per atom. The mass density is 8986 kg/m³. For the density of states at the Fermi level, the calculation gives 3.3 states/eV per cell.

The structure belongs to space group Amm2 (No. 38); the cell edges are 3.8584, 3.6239 and 10.5244 Å and the angles 90.00°, 90.00° and 90.00°. Symmetry generates all atoms from Ni at (0.0000, 0.0000, 0.0000), Sb at (0.0000, 0.0000, 0.7564), Sb at (0.5000, 0.0000, 0.4566) and Mo at (0.5000, 0.0000, 0.1670).

=====

No. 12
The following is a PBE calculation of crystalline Ni2SbMo2 at its relaxed geometry, from Alexandria via LeMat-Bulk.

The calculation puts the electronic total energy at -7.270 eV per atom. The mass density is 9453 kg/m³. For the density of states at the Fermi level, the calculation gives 11.3 states/eV per cell.

The structure belongs to space group P4/mbm (No. 127); the cell edges are 6.2740, 6.2740 and 3.8469 Å and the angles 90.00°, 90.00° and 90.00°. Symmetry generates all atoms from Ni at (0.1311, 0.3689, 0.0000), Sb at (0.0000, 0.0000, 0.0000) and Mo at (0.1509, 0.6509, 0.5000).

=====

No. 13
The following is a PBE calculation of crystalline NiSbMo2 at its relaxed geometry, from Alexandria via LeMat-Bulk.

The calculation puts the electronic total energy at -7.358 eV per atom. The mass density is 9404 kg/m³. For the density of states at the Fermi level, the calculation gives 20.4 states/eV per cell.

The structure belongs to space group R-3m (No. 166, hexagonal axes); the cell edges are 2.9679, 2.9679 and 25.8562 Å and the angles 90.00°, 90.00° and 120.00°. Symmetry generates all atoms from Ni at (0.0000, 0.0000, 0.0000), Sb at (0.0000, 0.0000, 0.5000) and Mo at (0.0000, 0.0000, 0.2562).

=====

No. 14
The following is a PBE calculation of crystalline NiSb3Mo at its relaxed geometry, from Alexandria via LeMat-Bulk.

As for the offset from the most stable computed form: 94.0 meV/atom. The calculation puts the electronic total energy at -4.886 eV per atom. The mass density is 6226 kg/m³. For the density of states at the Fermi level, the calculation gives 4.5 states/eV per cell.

The structure belongs to space group Pm-3m (No. 221); the cell edges are 5.1759, 5.1759 and 5.1759 Å and the angles 90.00°, 90.00° and 90.00°. Symmetry generates all atoms from Ni at (0.0000, 0.0000, 0.0000), Sb at (0.0000, 0.5000, 0.5000) and Mo at (0.5000, 0.5000, 0.5000).